1.
MnCoH4: optimized geometry, PBE-GGA.

a b c (Å): 2.9107 2.9106 4.0649
angles (deg): 90.00 90.00 90.00
Sites, in units of the cell vectors:
Mn  0.5013  0.4973  0.9981
Co  0.0013  0.9973  0.4981
H  0.5013  0.9973  0.2683
H  0.5013  0.9973  0.7280
H  0.0013  0.4973  0.7280
H  0.0013  0.4973  0.2682

- E_tot: -0.3620 Ry/atom
- SG: P4/mmm (123)
- Distance to the lowest polymorph of the same formula: 0.00 eV per formula unit

***

2.
BaHoMgIn: optimized geometry, PBE-GGA.

a b c (Å): 5.6778 5.6778 5.6778
angles (deg): 60.00 60.00 60.00
Sites, in units of the cell vectors:
Mg  0.0000  0.0000  0.0000
In  0.5000  0.5000  0.5000
Ho  0.2500  0.2500  0.2500
Ba  0.7500  0.7500  0.7500

- E_tot: -0.2098 Ry/atom
- SG: F-43m (216)
- Calculated formation energy: -0.15 eV per atom